# 1
Material: SmNiB4
Method: DFT, PBE
State: relaxed

a = 6.886 Å, b = 6.886 Å, c = 6.886 Å
α = 102.88°, β = 112.87°, γ = 112.87°
Element x y z (fractional)
B  0.388  0.276  0.112
B  0.836  0.724  0.112
B  0.531  0.113  0.113
B  0.000  0.582  0.113
B  0.388  0.112  0.276
B  0.164  0.888  0.276
B  0.531  0.418  0.418
B  0.000  0.887  0.418
B  0.000  0.113  0.582
B  0.469  0.582  0.582
B  0.836  0.112  0.724
B  0.612  0.888  0.724
B  0.000  0.418  0.887
B  0.469  0.887  0.887
B  0.164  0.276  0.888
B  0.612  0.724  0.888
Ni  0.772  0.500  0.272
Ni  0.772  0.272  0.500
Ni  0.228  0.728  0.500
Ni  0.228  0.500  0.728
Sm  0.000  0.204  0.204
Sm  0.500  0.750  0.250
Sm  0.500  0.250  0.750
Sm  0.000  0.796  0.796

Output
Space-group type: No. 139
Energy above the most stable polymorph in this dataset (eV per atom): 0.000

---

# 2
Material: PrGd2
Method: DFT, PBE
State: relaxed

a = 9.050 Å, b = 9.050 Å, c = 9.050 Å
α = 60.00°, β = 60.00°, γ = 60.00°
Last column: magnetic moment on the atom in μB.
Element x y z (fractional)
Gd  0.875  0.375  0.375  0.06
Gd  0.375  0.875  0.375  0.03
Gd  0.375  0.375  0.375  0.03
Gd  0.375  0.375  0.875  0.02
Pr  0.250  0.250  0.250  0.04
Pr  0.500  0.500  0.500  0.04

Output
Space-group type: No. 227
Energy relative to the elements (meV/atom): 2322
Energy above the most stable polymorph in this dataset (eV per atom): 2.056

---

# 3
Material: Pr2GdHg3Pt2Au
Method: DFT, PBE
State: relaxed

a = 3.928 Å, b = 7.846 Å, c = 7.846 Å
α = 119.72°, β = 90.00°, γ = 90.00°
Element x y z (fractional)
Au  0.000  0.003  0.003
Gd  0.000  0.406  0.406
Hg  0.500  0.268  0.001
Hg  0.500  0.001  0.268
Hg  0.500  0.731  0.731
Pr  0.000  0.596  0.000
Pr  0.000  0.000  0.596
Pt  0.500  0.661  0.334
Pt  0.500  0.334  0.661

Output
Space-group type: No. 38
Energy relative to the elements (meV/atom): -775

---

# 4
Material: SmAl2
Method: DFT, PBE
State: relaxed

a = 5.817 Å, b = 5.817 Å, c = 5.668 Å
α = 90.00°, β = 90.00°, γ = 90.00°
Element x y z (fractional)
Al  0.350  0.350  0.000
Al  0.650  0.650  0.000
Al  0.850  0.150  0.500
Al  0.150  0.850  0.500
Sm  0.000  0.000  0.000
Sm  0.500  0.500  0.500

Output
Space-group type: No. 136

---

# 5
Material: TbHoGa3Si2
Method: DFT, PBE
State: relaxed

a = 5.522 Å, b = 5.522 Å, c = 6.603 Å
α = 100.40°, β = 100.40°, γ = 43.15°
Element x y z (fractional)
Ga  0.696  0.696  0.360
Ga  0.001  0.001  0.501
Ga  0.304  0.304  0.641
Ho  0.619  0.619  0.816
Si  0.094  0.094  0.132
Si  0.906  0.906  0.866
Tb  0.381  0.381  0.184

Output
Space-group type: No. 8

---

# 6
Material: TaNbNO
Method: DFT, PBE
State: relaxed

a = 4.371 Å, b = 4.371 Å, c = 4.564 Å
α = 90.00°, β = 90.00°, γ = 90.00°
Element x y z (fractional)
N  0.000  0.500  0.422
N  0.500  0.000  0.578
Nb  0.500  0.000  0.074
Nb  0.000  0.500  0.926
O  0.000  0.000  0.000
O  0.500  0.500  0.000
Ta  0.000  0.000  0.500
Ta  0.500  0.500  0.500

Output
Space-group type: No. 129
Energy above the most stable polymorph in this dataset (eV per atom): 0.193

---

| no. | total moment (μB/atom) | E_tot (eV per formula unit) |
| --- | --- | --- |
| 1 | 0.0000 | -40.33 |
| 2 | 0.1372 | -7.12 |
| 3 | 0.0000 | -37.45 |
| 4 | 0.0001 | -10.61 |
| 5 | 0.0001 | -32.99 |
| 6 | 0.0001 | -39.45 |